VASP calculation (PBE-GGA) on an optimized crystal structure of Ba2InP.

abc: 5.7145 5.7145 5.7145
angles: 60.00 60.00 60.00
Atoms (fractional coordinates):
Ba 0.2500 0.2500 0.2500
Ba 0.0000 0.0000 0.0000
In 0.5000 0.5000 0.5000
P 0.7500 0.7500 0.7500

Density of states at the Fermi level, states/eV per cell: 5.14
Calculated formation energy, eV per atom: -0.06
M_tot, μB/f.u.: 0.01
Energy above the lowest structure with this stoichiometry, meV per atom: 544.0

VASP calculation (PBE-GGA) on an optimized crystal structure of InSi2PtAu.

abc: 4.6293 5.3696 4.6293
angles: 90.00 90.00 90.00
Atoms (fractional coordinates):
Au 0.5000 0.5000 0.5000
In 0.0000 0.5000 0.0000
Si 0.0000 0.0000 0.5000
Si 0.5000 0.0000 0.0000
Pt 0.0000 0.0000 0.0000

Density of states at the Fermi level, states/eV per cell: 2.76
Energy relative to the elements, uncorrected, eV per atom: 0.309
M_tot, μB/f.u.: 0.00

VASP calculation (PBE-GGA) on an optimized crystal structure of YMgScCo.

abc: 4.8750 4.8750 4.8750
angles: 60.00 60.00 60.00
Atoms (fractional coordinates):
Sc 0.2500 0.2500 0.2500
Y 0.7500 0.7500 0.7500
Mg 0.0000 0.0000 0.0000
Co 0.5000 0.5000 0.5000

Density of states at the Fermi level, states/eV per cell: 2.32
Calculated formation energy, eV per atom: -0.03
M_tot, μB/f.u.: 0.20
Energy above the lowest structure with this stoichiometry, meV per atom: 140.9

VASP calculation (PBE-GGA) on an optimized crystal structure of Ta2PbW.

abc: 5.4315 5.4315 4.6918
angles: 64.40 64.40 37.83
Atoms (fractional coordinates):
W 0.7500 0.7500 0.7500
Ta 0.0159 0.0159 0.9840
Ta 0.4841 0.4841 0.5160
Pb 0.2500 0.2500 0.2500

Density of states at the Fermi level, states/eV per cell: 1.86
Calculated formation energy, eV per atom: 0.40
M_tot, μB/f.u.: 0.00

VASP calculation (PBE-GGA) on an optimized crystal structure of LuNpTe2.

abc: 3.7316 3.7316 7.5574
angles: 90.00 90.00 90.00
Atoms (fractional coordinates):
Lu 0.5000 0.5000 0.0000
Np 0.5000 0.5000 0.5000
Te 0.0000 0.0000 0.7562
Te 0.0000 0.0000 0.2438

Density of states at the Fermi level, states/eV per cell: 8.36
Energy relative to the elements, uncorrected, eV per atom: -0.752
M_tot, μB/f.u.: 5.36
Energy above the lowest structure with this stoichiometry, meV per atom: 0.0

VASP calculation (PBE-GGA) on an optimized crystal structure of Sm3PdAu.

abc: 3.9853 8.8413 8.8675
angles: 67.00 90.00 90.00
Atoms (fractional coordinates):
Sm 0.3633 0.3452 0.3981
Sm 0.8626 0.6223 0.0491
Sm 0.8638 0.3927 0.8162
Sm 0.8639 0.9960 0.6761
Sm 0.8625 0.7661 0.4433
Sm 0.3633 0.0437 0.0948
Au 0.3633 0.6941 0.7464
Au 0.8633 0.1929 0.2479
Pd 0.3625 0.6944 0.2461
Pd 0.3638 0.1942 0.7464

Density of states at the Fermi level, states/eV per cell: 9.19
Calculated formation energy, eV per atom: -0.50
M_tot, μB/f.u.: 0.00

VASP calculation (PBE-GGA) on an optimized crystal structure of Li2MnTcPb.

abc: 4.7078 4.3746 4.7078
angles: 90.00 90.00 90.00
Atoms (fractional coordinates):
Pb 0.5000 0.5000 0.5000
Li 0.5000 0.0000 0.0000
Li 0.0000 0.0000 0.5000
Tc 0.0000 0.5000 0.0000
Mn 0.0000 0.0000 0.0000

Density of states at the Fermi level, states/eV per cell: 4.70
Calculated formation energy, eV per atom: 0.72
M_tot, μB/f.u.: 1.70
Energy above the lowest structure with this stoichiometry, meV per atom: 0.0

VASP calculation (PBE-GGA) on an optimized crystal structure of Ac5Sn2RhN.

abc: 4.6652 9.9208 13.5058
angles: 90.00 90.00 103.60
Atoms (fractional coordinates):
Sn 0.1316 0.2633 0.3253
Sn 0.8899 0.7798 0.1871
Sn 0.8684 0.7367 0.8253
Sn 0.1101 0.2202 0.6871
Ac 0.9642 0.9283 0.5073
Ac 0.7128 0.4256 0.1750
Ac 0.0358 0.0717 0.0073
Ac 0.5070 0.0141 0.2746
Ac 0.6741 0.3481 0.8823
Ac 0.2872 0.5744 0.6750
Ac 0.4930 0.9859 0.7746
Ac 0.6574 0.3148 0.5084
Ac 0.3259 0.6519 0.3823
Ac 0.3426 0.6852 0.0084
Rh 0.1959 0.3917 0.0322
Rh 0.8041 0.6083 0.5322
N 0.4531 0.9063 0.4317
N 0.5469 0.0937 0.9317

Density of states at the Fermi level, states/eV per cell: 10.73
Energy relative to the elements, uncorrected, eV per atom: -0.758
M_tot, μB/f.u.: 0.00

VASP calculation (PBE-GGA) on an optimized crystal structure of Zn3SnO.

abc: 5.1630 5.1630 5.1630
angles: 90.00 90.00 90.00
Atoms (fractional coordinates):
Sn 0.0000 0.0000 0.0000
Zn 0.5000 0.0000 0.0000
Zn 0.0000 0.5000 0.0000
Zn 0.0000 0.0000 0.5000
O 0.5000 0.5000 0.5000

Density of states at the Fermi level, states/eV per cell: 6.74
Energy relative to the elements, uncorrected, eV per atom: 0.733
M_tot, μB/f.u.: 0.80
Energy above the lowest structure with this stoichiometry, meV per atom: 857.0

VASP calculation (PBE-GGA) on an optimized crystal structure of Ho3PaSe4.

abc: 3.9909 3.9909 13.8946
angles: 81.74 81.74 60.00
Atoms (fractional coordinates):
Se 0.3767 0.3767 0.8698
Se 0.8746 0.8746 0.3761
Se 0.6233 0.6233 0.1302
Se 0.1254 0.1254 0.6239
Ho 0.5000 0.5000 0.5000
Ho 0.2502 0.2502 0.2494
Ho 0.7498 0.7498 0.7506
Pa 0.0000 0.0000 0.0000

Density of states at the Fermi level, states/eV per cell: 6.97
Energy relative to the elements, uncorrected, eV per atom: -1.590
M_tot, μB/f.u.: 0.79

VASP calculation (PBE-GGA) on an optimized crystal structure of GaRu2PtPb.

abc: 4.5790 5.0923 4.5790
angles: 90.00 90.00 90.00
Atoms (fractional coordinates):
Ga 0.0000 0.0000 0.0000
Pt 0.5000 0.5000 0.5000
Ru 0.0000 0.0000 0.5000
Ru 0.5000 0.0000 0.0000
Pb 0.0000 0.5000 0.0000

Density of states at the Fermi level, states/eV per cell: 6.21
Calculated formation energy, eV per atom: 1.30
M_tot, μB/f.u.: 1.92

VASP calculation (PBE-GGA) on an optimized crystal structure of AcTbPr5Nd2.

abc: 9.1086 9.1086 10.2666
angles: 116.33 116.33 90.00
Atoms (fractional coordinates):
Tb 0.2500 0.7500 0.5000
Tb 0.7500 0.2500 0.5000
Nd 0.8835 0.6165 0.0000
Nd 0.6165 0.1165 0.0000
Nd 0.3835 0.8835 0.0000
Nd 0.1165 0.3835 0.0000
Pr 0.1616 0.0702 0.7318
Pr 0.4298 0.3384 0.2682
Pr 0.5702 0.6616 0.7318
Pr 0.0000 0.0000 0.0000
Pr 0.6616 0.1616 0.7318
Pr 0.3384 0.8384 0.2682
Pr 0.8384 0.9298 0.2682
Pr 0.0702 0.5702 0.7318
Pr 0.5000 0.5000 0.0000
Pr 0.9298 0.4298 0.2682
Ac 0.7500 0.7500 0.5000
Ac 0.2500 0.2500 0.5000

Density of states at the Fermi level, states/eV per cell: 24.88
Calculated formation energy, eV per atom: 0.25
M_tot, μB/f.u.: 0.00

VASP calculation (PBE-GGA) on an optimized crystal structure of TeH2Se2.

abc: 8.0763 8.0763 3.3753
angles: 90.00 90.00 90.00
Atoms (fractional coordinates):
Te 0.5000 0.5000 0.0000
Te 0.0000 0.0000 0.0000
H 0.7975 0.2975 0.5000
H 0.7025 0.7975 0.5000
H 0.2025 0.7025 0.5000
H 0.2975 0.2025 0.5000
Se 0.7522 0.7478 0.0000
Se 0.2522 0.7522 0.0000
Se 0.2478 0.2522 0.0000
Se 0.7478 0.2478 0.0000

Density of states at the Fermi level, states/eV per cell: 2.44
M_tot, μB/f.u.: 0.00

VASP calculation (PBE-GGA) on an optimized crystal structure of ScTc2Pb.

abc: 4.6698 4.6698 4.6698
angles: 60.00 60.00 60.00
Atoms (fractional coordinates):
Tc 0.0000 0.0000 0.0000
Tc 0.2500 0.2500 0.2500
Pb 0.5000 0.5000 0.5000
Sc 0.7500 0.7500 0.7500

Density of states at the Fermi level, states/eV per cell: 5.68
Calculated formation energy, eV per atom: 0.28
M_tot, μB/f.u.: 1.00
Energy above the lowest structure with this stoichiometry, meV per atom: 293.8

VASP calculation (PBE-GGA) on an optimized crystal structure of LiLaTe2.

abc: 4.5170 4.5170 8.0156
angles: 73.63 73.63 60.00
Atoms (fractional coordinates):
Te 0.2540 0.2540 0.2381
Te 0.0870 0.0870 0.7390
Li 0.4902 0.4902 0.5294
La 0.6688 0.6688 0.9935

Energy relative to the elements, uncorrected, eV per atom: -1.314
M_tot, μB/f.u.: 0.00

VASP calculation (PBE-GGA) on an optimized crystal structure of B2SbHPd.

abc: 4.4133 5.1379 4.4133
angles: 90.00 90.00 90.00
Atoms (fractional coordinates):
Sb 0.0000 0.0000 0.0000
B 0.0000 0.0000 0.5000
B 0.5000 0.0000 0.0000
H 0.5000 0.5000 0.5000
Pd 0.0000 0.5000 0.0000

Density of states at the Fermi level, states/eV per cell: 1.78
M_tot, μB/f.u.: 0.18
Energy above the lowest structure with this stoichiometry, meV per atom: 631.7

VASP calculation (PBE-GGA) on an optimized crystal structure of LiGa2Cu8.

abc: 4.4844 6.7400 7.2084
angles: 62.13 72.64 50.33
Atoms (fractional coordinates):
Li 0.5000 0.0000 0.0000
Cu 0.5000 0.1951 0.6099
Cu 0.7752 0.0972 0.2758
Cu 0.2248 0.6271 0.2758
Cu 0.5000 0.8049 0.3901
Cu 0.7752 0.3729 0.7242
Cu 0.2248 0.9028 0.7242
Cu 0.2759 0.4718 0.0000
Cu 0.7241 0.5282 0.0000
Ga 0.0000 0.3204 0.3592
Ga 0.0000 0.6796 0.6408

Density of states at the Fermi level, states/eV per cell: 2.30
Calculated formation energy, eV per atom: 0.01
M_tot, μB/f.u.: 0.00
Energy above the lowest structure with this stoichiometry, meV per atom: 108.9

VASP calculation (PBE-GGA) on an optimized crystal structure of Al2P3H11O13.

abc: 7.6003 8.3710 9.9123
angles: 90.00 90.00 110.60
Atoms (fractional coordinates):
H 0.4022 0.6302 0.6934
H 0.7569 0.5963 0.3206
H 0.7576 0.5060 0.1115
H 0.6519 0.2808 0.7517
H 0.5482 0.4533 0.6164
H 0.2456 0.2406 0.9074
H 0.2431 0.4037 0.8206
H 0.1642 0.9408 0.1743
H 0.5978 0.3698 0.1934
H 0.8857 0.9217 0.0469
H 0.7387 0.2291 0.8898
H 0.4518 0.5467 0.1164
H 0.0529 0.2286 0.4071
H 0.7544 0.7594 0.4074
H 0.3549 0.6603 0.0309
H 0.2424 0.4940 0.6115
H 0.6451 0.3397 0.5309
H 0.2613 0.7709 0.3898
H 0.8358 0.0592 0.6743
H 0.3481 0.7192 0.2517
H 0.9471 0.7714 0.9071
H 0.1143 0.0783 0.5469
O 0.3277 0.0872 0.9794
O 0.0164 0.4749 0.4988
O 0.4110 0.0733 0.4841
O 0.2838 0.0262 0.7251
O 0.1413 0.8036 0.5373
O 0.8088 0.6672 0.4022
O 0.3613 0.8086 0.3201
O 0.6387 0.1914 0.8201
O 0.3506 0.5063 0.6710
O 0.6645 0.4239 0.6057
O 0.1998 0.2326 0.1551
O 0.9864 0.5760 0.7464
O 0.7439 0.2431 0.3978
O 0.1912 0.3328 0.9022
O 0.3355 0.5761 0.1057
O 0.4704 0.1397 0.2173
O 0.7162 0.9738 0.2251
O 0.8002 0.7674 0.6551
O 0.8587 0.1964 0.0373
O 0.0136 0.4240 0.2464
O 0.6723 0.9128 0.4794
O 0.2561 0.7569 0.8978
O 0.9836 0.5251 0.9988
O 0.6494 0.4937 0.1710
O 0.5296 0.8603 0.7173
O 0.5890 0.9267 0.9841
P 0.0436 0.6584 0.8843
P 0.7080 0.9007 0.6313
P 0.7599 0.0067 0.0751
P 0.9564 0.3416 0.3843
P 0.2401 0.9933 0.5751
P 0.2920 0.0993 0.1313
Al 0.9131 0.6265 0.5771
Al 0.4341 0.9721 0.8535
Al 0.0869 0.3735 0.0771
Al 0.5659 0.0279 0.3535

Density of states at the Fermi level, states/eV per cell: 0.00
M_tot, μB/f.u.: 0.00

VASP calculation (PBE-GGA) on an optimized crystal structure of Zr2RuSe.

abc: 8.5959 8.5959 8.5959
angles: 22.73 22.73 22.73
Atoms (fractional coordinates):
Ru 0.5033 0.5033 0.5033
Zr 0.2388 0.2388 0.2388
Zr 0.0089 0.0089 0.0089
Se 0.7490 0.7490 0.7490

Density of states at the Fermi level, states/eV per cell: 5.92
Energy relative to the elements, uncorrected, eV per atom: -0.153
M_tot, μB/f.u.: 0.17

VASP calculation (PBE-GGA) on an optimized crystal structure of Sc3GeH2.

abc: 3.4577 5.5499 10.4993
angles: 107.27 99.48 90.00
Atoms (fractional coordinates):
Sc 0.9561 0.1903 0.9122
Sc 0.6036 0.3507 0.2073
Sc 0.3964 0.6493 0.7927
Sc 0.0439 0.8097 0.0878
Sc 0.2319 0.2376 0.4639
Sc 0.7681 0.7624 0.5361
Ge 0.3501 0.1138 0.7002
Ge 0.6499 0.8862 0.2998
H 0.9441 0.8008 0.8882
H 0.0559 0.1992 0.1118
H 0.2923 0.5962 0.5845
H 0.7077 0.4038 0.4155

Density of states at the Fermi level, states/eV per cell: 6.89
M_tot, μB/f.u.: 0.00

VASP calculation (PBE-GGA) on an optimized crystal structure of SrLaSe2.

abc: 5.3066 5.3066 5.3066
angles: 60.00 60.00 60.00
Atoms (fractional coordinates):
La 0.5000 0.5000 0.5000
Sr 0.0000 0.0000 0.0000
Se 0.7500 0.7500 0.7500
Se 0.2500 0.2500 0.2500

Density of states at the Fermi level, states/eV per cell: 3.45
Energy relative to the elements, uncorrected, eV per atom: -1.685
M_tot, μB/f.u.: 0.25
Energy above the lowest structure with this stoichiometry, meV per atom: 315.2

VASP calculation (PBE-GGA) on an optimized crystal structure of PmTm2O.

abc: 3.4625 3.4625 8.9458
angles: 78.84 78.84 60.00
Atoms (fractional coordinates):
O 0.0000 0.0000 0.0000
Pm 0.5000 0.5000 0.5000
Tm 0.7185 0.7185 0.8446
Tm 0.2815 0.2815 0.1554

Density of states at the Fermi level, states/eV per cell: 3.65
Energy relative to the elements, uncorrected, eV per atom: -1.370
M_tot, μB/f.u.: 0.00
Energy above the lowest structure with this stoichiometry, meV per atom: 0.0

VASP calculation (PBE-GGA) on an optimized crystal structure of SiIr2Rh.

abc: 2.8162 2.8162 6.9757
angles: 90.00 90.00 90.00
Atoms (fractional coordinates):
Ir 0.5000 0.5000 0.2494
Ir 0.0000 0.0000 0.9659
Si 0.5000 0.5000 0.7473
Rh 0.0000 0.0000 0.5374

Density of states at the Fermi level, states/eV per cell: 6.27
Energy relative to the elements, uncorrected, eV per atom: -0.251
M_tot, μB/f.u.: 0.00

Total energy per entry: -3.06; -4.27; -5.40; -9.69; -6.69; -5.02; -4.70; -5.67; -1.82; -6.24; -4.97; -4.44; -3.19; -7.42; -4.60; -3.20; -3.69; -5.95; -7.62; -5.59; -5.08; -6.03; -7.87 eV per atom